Record 1
Compound: CaSi2W
Source: Alexandria via LeMat-Bulk
Functional: PBE
Structure: optimized geometry

Calculated values
formation energy without anion corrections: 0.35 eV/atom
polymorph energy (0 for the lowest one): 0.501 eV per atom
DOS at the Fermi energy: 2.6 states/eV per cell
total energy: -24.4 eV for the cell shown
magnetic moment: 0.00 μB per formula unit

a = 4.953 Å, b = 4.953 Å, c = 2.865 Å
α = 90.00°, β = 90.00°, γ = 106.94°
Fractional positions:
Si  0.000  0.000  0.000
Si  0.500  0.500  0.000
Ca  0.000  0.500  0.500
W  0.500  0.000  0.500

=====

Record 2
Compound: YCu2Sb
Source: Alexandria via LeMat-Bulk
Functional: PBE
Structure: optimized geometry

Calculated values
formation energy without anion corrections: -0.37 eV/atom
DOS at the Fermi energy: 2.2 states/eV per cell
total energy: -20.3 eV for the cell shown
magnetic moment: 0.00 μB per formula unit

a = 4.252 Å, b = 4.252 Å, c = 5.718 Å
α = 68.26°, β = 68.26°, γ = 59.91°
Fractional positions:
Cu  0.731  0.731  0.807
Cu  0.041  0.041  0.875
Y  0.261  0.261  0.219
Sb  0.467  0.467  0.599

=====

Record 3
Compound: Er2TmPt
Source: Alexandria via LeMat-Bulk
Functional: PBE
Structure: optimized geometry

Calculated values
energy of formation from the pure elements: -0.7007 eV per atom
polymorph energy (0 for the lowest one): 0.042 eV per atom
DOS at the Fermi energy: 10.3 states/eV per cell
total energy: -44.9 eV for the cell shown
magnetic moment: 0.00 μB per formula unit

a = 3.741 Å, b = 6.300 Å, c = 9.326 Å
α = 90.00°, β = 90.00°, γ = 107.30°
Fractional positions:
Pt  0.744  0.487  0.250
Pt  0.256  0.513  0.750
Er  0.864  0.728  0.564
Er  0.136  0.272  0.436
Er  0.864  0.728  0.936
Er  0.136  0.272  0.064
Tm  0.430  0.859  0.250
Tm  0.570  0.141  0.750

=====

Record 4
Compound: Nb2Pd2W
Source: Alexandria via LeMat-Bulk
Functional: PBE
Structure: optimized geometry

Calculated values
energy of formation from the pure elements: 0.0987 eV per atom
DOS at the Fermi energy: 8.5 states/eV per cell
total energy: -86.0 eV for the cell shown
magnetic moment: 0.00 μB per formula unit

a = 7.813 Å, b = 7.813 Å, c = 2.784 Å
α = 90.00°, β = 90.00°, γ = 90.00°
Fractional positions:
W  0.000  0.000  0.000
W  0.500  0.500  0.000
Nb  0.677  0.823  0.500
Nb  0.177  0.677  0.500
Nb  0.323  0.177  0.500
Nb  0.823  0.323  0.500
Pd  0.879  0.621  0.000
Pd  0.121  0.379  0.000
Pd  0.621  0.121  0.000
Pd  0.379  0.879  0.000

=====

Record 5
Compound: CsBaTeSe2
Source: Alexandria via LeMat-Bulk
Functional: PBE
Structure: optimized geometry

Calculated values
formation energy without anion corrections: -1.12 eV/atom
polymorph energy (0 for the lowest one): 0.000 eV per atom
DOS at the Fermi energy: 2.8 states/eV per cell
total energy: -37.0 eV for the cell shown
magnetic moment: 0.00 μB per formula unit

a = 5.133 Å, b = 8.467 Å, c = 9.825 Å
α = 98.82°, β = 90.00°, γ = 90.00°
Fractional positions:
Se  0.632  0.751  0.971
Se  0.368  0.751  0.471
Se  0.632  0.249  0.529
Se  0.368  0.249  0.029
Cs  0.132  0.500  0.750
Cs  0.868  0.500  0.250
Ba  0.492  0.000  0.250
Ba  0.508  0.000  0.750
Te  0.000  0.000  0.500
Te  0.000  0.000  0.000

=====

Record 6
Compound: La6PmY
Source: Alexandria via LeMat-Bulk
Functional: PBE
Structure: optimized geometry

Calculated values
energy of formation from the pure elements: 0.0065 eV per atom
DOS at the Fermi energy: 11.9 states/eV per cell
total energy: -40.7 eV for the cell shown
magnetic moment: 0.00 μB per formula unit

a = 5.227 Å, b = 5.227 Å, c = 10.449 Å
α = 90.00°, β = 90.00°, γ = 90.00°
Fractional positions:
Y  0.000  0.000  0.000
La  0.500  0.500  0.000
La  0.500  0.000  0.250
La  0.500  0.500  0.500
La  0.500  0.000  0.750
La  0.000  0.500  0.750
La  0.000  0.500  0.250
Pm  0.000  0.000  0.500

=====

Record 7
Compound: ErTm3Ag2
Source: Alexandria via LeMat-Bulk
Functional: PBE
Structure: optimized geometry

Calculated values
energy of formation from the pure elements: 0.0228 eV per atom
polymorph energy (0 for the lowest one): 0.232 eV per atom
DOS at the Fermi energy: 14.2 states/eV per cell
total energy: -47.1 eV for the cell shown
magnetic moment: 0.00 μB per formula unit

a = 6.960 Å, b = 7.287 Å, c = 8.550 Å
α = 115.22°, β = 114.02°, γ = 90.00°
Fractional positions:
Tm  0.772  0.522  0.543
Tm  0.228  0.978  0.457
Tm  0.500  0.250  0.000
Tm  0.772  0.022  0.543
Tm  0.500  0.750  0.000
Tm  0.228  0.478  0.457
Ag  0.441  0.642  0.284
Ag  0.157  0.858  0.716
Ag  0.559  0.358  0.716
Ag  0.843  0.142  0.284
Er  0.000  0.000  0.000
Er  0.000  0.500  0.000

=====

Record 8
Compound: Pr3SmTm2S6
Source: Alexandria via LeMat-Bulk
Functional: PBE
Structure: optimized geometry

Calculated values
formation energy without anion corrections: -2.00 eV/atom
DOS at the Fermi energy: 4.9 states/eV per cell
total energy: -76.8 eV for the cell shown
magnetic moment: 0.00 μB per formula unit

a = 6.876 Å, b = 6.876 Å, c = 7.044 Å
α = 99.36°, β = 99.36°, γ = 120.13°
Fractional positions:
S  0.077  0.420  0.231
S  0.580  0.923  0.769
S  0.923  0.580  0.769
S  0.267  0.267  0.772
S  0.733  0.733  0.228
S  0.420  0.077  0.231
Tm  0.666  0.334  0.000
Tm  0.334  0.666  0.000
Pr  0.500  0.500  0.500
Pr  0.838  0.162  0.500
Pr  0.162  0.838  0.500
Sm  0.000  0.000  0.000

=====

Record 9
Compound: Dy3Mn5H12
Source: Alexandria via LeMat-Bulk
Functional: PBE
Structure: optimized geometry

Calculated values
DOS at the Fermi energy: 22.6 states/eV per cell
total energy: -415.4 eV for the cell shown
magnetic moment: 10.05 μB per formula unit

a = 9.791 Å, b = 9.791 Å, c = 9.791 Å
α = 109.47°, β = 109.47°, γ = 109.47°
Site moments in Bohr magnetons follow the coordinates.
Fractional positions:
Dy  0.625  0.375  0.750  -0.27
Dy  0.750  0.875  0.625  -0.27
Dy  0.250  0.625  0.875  -0.27
Dy  0.375  0.625  0.250  -0.27
Dy  0.875  0.750  0.125  -0.27
Dy  0.750  0.375  0.125  -0.27
Dy  0.125  0.250  0.875  -0.27
Dy  0.375  0.750  0.625  -0.27
Dy  0.125  0.875  0.750  -0.27
Dy  0.625  0.250  0.375  -0.27
Dy  0.250  0.125  0.375  -0.27
Dy  0.875  0.125  0.250  -0.27
Mn  0.500  0.500  0.000  0.69
Mn  0.500  0.000  0.000  0.69
Mn  0.500  0.000  0.500  0.69
Mn  0.250  0.875  0.125  3.13
Mn  0.375  0.125  0.750  3.13
Mn  0.875  0.250  0.625  3.13
Mn  0.750  0.625  0.375  3.13
Mn  0.625  0.750  0.875  3.13
Mn  0.000  0.000  0.000  0.69
Mn  0.125  0.750  0.375  3.13
Mn  0.625  0.875  0.250  3.13
Mn  0.125  0.375  0.250  3.13
Mn  0.500  0.500  0.500  0.69
Mn  0.000  0.000  0.500  0.69
Mn  0.000  0.500  0.500  0.69
Mn  0.250  0.375  0.625  3.13
Mn  0.000  0.500  0.000  0.69
Mn  0.375  0.250  0.125  3.13
Mn  0.875  0.625  0.750  3.13
Mn  0.750  0.125  0.875  3.13
H  0.416  0.026  0.335  -0.01
H  0.474  0.809  0.891  -0.01
H  0.419  0.309  0.335  -0.01
H  0.191  0.526  0.609  -0.01
H  0.584  0.974  0.665  -0.01
H  0.335  0.526  0.416  -0.01
H  0.974  0.584  0.165  -0.01
H  0.609  0.026  0.191  -0.01
H  0.809  0.335  0.919  -0.01
H  0.026  0.416  0.835  -0.01
H  0.109  0.419  0.084  -0.01
H  0.391  0.416  0.081  -0.01
H  0.809  0.474  0.391  -0.01
H  0.084  0.165  0.474  -0.01
H  0.165  0.081  0.691  -0.01
H  0.691  0.109  0.026  -0.01
H  0.916  0.835  0.526  -0.01
H  0.919  0.084  0.609  -0.01
H  0.081  0.916  0.391  -0.01
H  0.891  0.581  0.916  -0.01
H  0.391  0.974  0.809  -0.01
H  0.526  0.335  0.916  -0.01
H  0.081  0.165  0.191  -0.01
H  0.109  0.691  0.526  -0.01
H  0.474  0.665  0.084  -0.01
H  0.419  0.109  0.584  -0.01
H  0.309  0.891  0.974  -0.01
H  0.581  0.691  0.665  -0.01
H  0.919  0.835  0.809  -0.01
H  0.026  0.609  0.691  -0.01
H  0.835  0.919  0.309  -0.01
H  0.191  0.665  0.081  -0.01
H  0.691  0.581  0.165  -0.01
H  0.581  0.891  0.416  -0.01
H  0.584  0.609  0.419  -0.01
H  0.084  0.919  0.109  -0.01
H  0.891  0.309  0.474  -0.01
H  0.165  0.084  0.974  -0.01
H  0.309  0.419  0.835  -0.01
H  0.665  0.474  0.584  -0.01
H  0.335  0.809  0.419  -0.01
H  0.916  0.081  0.891  -0.01
H  0.526  0.191  0.109  -0.01
H  0.835  0.916  0.026  -0.01
H  0.416  0.391  0.581  -0.01
H  0.974  0.391  0.309  -0.01
H  0.665  0.191  0.581  -0.01
H  0.609  0.584  0.919  -0.01

=====

Record 10
Compound: ZrAs2Ru
Source: Alexandria via LeMat-Bulk
Functional: PBE
Structure: optimized geometry

Calculated values
energy of formation from the pure elements: -0.4932 eV per atom
polymorph energy (0 for the lowest one): 0.112 eV per atom
DOS at the Fermi energy: 1.9 states/eV per cell
total energy: -29.1 eV for the cell shown
magnetic moment: 0.00 μB per formula unit

a = 5.033 Å, b = 5.033 Å, c = 4.713 Å
α = 74.83°, β = 74.83°, γ = 37.74°
Fractional positions:
Zr  0.738  0.738  0.817
As  0.001  0.001  0.907
As  0.237  0.237  0.312
Ru  0.523  0.523  0.464

=====

Record 11
Compound: Pt5Rh2W
Source: Alexandria via LeMat-Bulk
Functional: PBE
Structure: optimized geometry

Calculated values
energy of formation from the pure elements: -0.1001 eV per atom
polymorph energy (0 for the lowest one): 0.000 eV per atom
DOS at the Fermi energy: 13.8 states/eV per cell
total energy: -117.3 eV for the cell shown
magnetic moment: 0.00 μB per formula unit

a = 3.849 Å, b = 6.192 Å, c = 11.511 Å
α = 90.00°, β = 90.00°, γ = 108.11°
Fractional positions:
Pt  0.915  0.829  0.917
Pt  0.085  0.171  0.083
Pt  0.915  0.829  0.583
Pt  0.587  0.173  0.905
Pt  0.413  0.827  0.095
Pt  0.416  0.831  0.750
Pt  0.587  0.173  0.595
Pt  0.085  0.171  0.417
Pt  0.584  0.169  0.250
Pt  0.413  0.827  0.405
Rh  0.245  0.490  0.594
Rh  0.755  0.510  0.094
Rh  0.755  0.510  0.406
Rh  0.245  0.490  0.906
W  0.248  0.496  0.250
W  0.752  0.504  0.750

=====

Record 12
Compound: Li2TiGa2O6
Source: Alexandria via LeMat-Bulk
Functional: PBE
Structure: optimized geometry

Calculated values
formation energy without anion corrections: -2.18 eV/atom
DOS at the Fermi energy: 0.0 states/eV per cell
total energy: -71.5 eV for the cell shown
magnetic moment: 0.00 μB per formula unit

a = 5.114 Å, b = 5.114 Å, c = 5.256 Å
α = 99.81°, β = 99.81°, γ = 119.34°
Fractional positions:
Li  0.825  0.175  0.000
Li  0.175  0.825  0.000
O  0.062  0.400  0.717
O  0.749  0.749  0.710
O  0.600  0.938  0.283
O  0.251  0.251  0.290
O  0.938  0.600  0.283
O  0.400  0.062  0.717
Ga  0.665  0.335  0.500
Ga  0.335  0.665  0.500
Ti  0.000  0.000  0.500

=====

Record 13
Compound: AlHgSb
Source: Alexandria via LeMat-Bulk
Functional: PBE
Structure: optimized geometry

Calculated values
formation energy without anion corrections: 0.20 eV/atom
polymorph energy (0 for the lowest one): 0.129 eV per atom
DOS at the Fermi energy: 1.6 states/eV per cell
total energy: -7.6 eV for the cell shown
magnetic moment: 0.00 μB per formula unit

a = 6.607 Å, b = 6.607 Å, c = 6.607 Å
α = 152.80°, β = 146.57°, γ = 43.62°
Fractional positions:
Sb  0.355  0.355  0.000
Hg  0.647  0.647  0.000
Al  0.998  0.998  0.000

=====

Record 14
Compound: SrHgW2
Source: Alexandria via LeMat-Bulk
Functional: PBE
Structure: optimized geometry

Calculated values
energy of formation from the pure elements: 1.1825 eV per atom
DOS at the Fermi energy: 2.1 states/eV per cell
total energy: -23.2 eV for the cell shown
magnetic moment: 0.00 μB per formula unit

a = 5.104 Å, b = 4.080 Å, c = 4.080 Å
α = 90.00°, β = 90.00°, γ = 90.00°
Fractional positions:
Sr  0.500  0.000  0.500
W  0.000  0.500  0.500
W  0.000  0.000  0.000
Hg  0.500  0.500  0.000

=====

Record 15
Compound: KInNF2
Source: Alexandria via LeMat-Bulk
Functional: PBE
Structure: optimized geometry

Calculated values
formation energy without anion corrections: -0.32 eV/atom
polymorph energy (0 for the lowest one): 0.955 eV per atom
DOS at the Fermi energy: 0.7 states/eV per cell
total energy: -17.5 eV for the cell shown
magnetic moment: 3.07 μB per formula unit

a = 4.945 Å, b = 4.945 Å, c = 5.039 Å
α = 90.00°, β = 90.00°, γ = 90.00°
Site moments in Bohr magnetons follow the coordinates.
Fractional positions:
In  0.500  0.500  0.500  0.04
F  0.500  0.000  0.000  0.10
F  0.000  0.500  0.000  0.10
K  0.000  0.000  0.000  0.04
N  0.000  0.000  0.500  1.85

=====

Record 16
Compound: LiAl5Zn2
Source: Alexandria via LeMat-Bulk
Functional: PBE
Structure: optimized geometry

Calculated values
energy of formation from the pure elements: 0.0039 eV per atom
DOS at the Fermi energy: 2.2 states/eV per cell
total energy: -23.1 eV for the cell shown
magnetic moment: 0.00 μB per formula unit

a = 3.908 Å, b = 6.386 Å, c = 6.386 Å
α = 75.20°, β = 72.18°, γ = 72.18°
Fractional positions:
Zn  0.279  0.221  0.221
Zn  0.721  0.779  0.779
Al  0.648  0.538  0.165
Al  0.000  0.500  0.500
Al  0.352  0.835  0.462
Al  0.352  0.462  0.835
Al  0.648  0.165  0.538
Li  0.000  0.000  0.000

=====

Record 17
Compound: MgPb8
Source: Alexandria via LeMat-Bulk
Functional: PBE
Structure: optimized geometry

Calculated values
energy of formation from the pure elements: 0.0070 eV per atom
polymorph energy (0 for the lowest one): 0.000 eV per atom
DOS at the Fermi energy: 5.0 states/eV per cell
total energy: -31.2 eV for the cell shown
magnetic moment: 0.00 μB per formula unit

a = 7.943 Å, b = 7.943 Å, c = 7.943 Å
α = 95.20°, β = 95.20°, γ = 144.95°
Fractional positions:
Pb  0.338  0.662  0.000
Pb  0.000  0.329  0.329
Pb  0.000  0.671  0.671
Pb  0.338  0.338  0.676
Pb  0.662  0.662  0.324
Pb  0.662  0.338  0.000
Pb  0.671  0.000  0.671
Pb  0.329  0.000  0.329
Mg  0.000  0.000  0.000

=====

Record 18
Compound: Y2RuBr
Source: Alexandria via LeMat-Bulk
Functional: PBE
Structure: optimized geometry

Calculated values
formation energy without anion corrections: -0.32 eV/atom
polymorph energy (0 for the lowest one): 0.472 eV per atom
DOS at the Fermi energy: 3.3 states/eV per cell
total energy: -25.2 eV for the cell shown
magnetic moment: 0.00 μB per formula unit

a = 5.039 Å, b = 5.039 Å, c = 5.039 Å
α = 60.00°, β = 60.00°, γ = 60.00°
Fractional positions:
Y  0.250  0.250  0.250
Y  0.750  0.750  0.750
Ru  0.500  0.500  0.500
Br  0.000  0.000  0.000

=====

Record 19
Compound: CuBPbI2
Source: Alexandria via LeMat-Bulk
Functional: PBE
Structure: optimized geometry

Calculated values
formation energy without anion corrections: 1.21 eV/atom
DOS at the Fermi energy: 3.3 states/eV per cell
total energy: -11.5 eV for the cell shown
magnetic moment: 0.00 μB per formula unit

a = 6.293 Å, b = 4.757 Å, c = 6.293 Å
α = 90.00°, β = 90.00°, γ = 90.00°
Fractional positions:
Cu  0.500  0.500  0.500
Pb  0.000  0.000  0.000
B  0.000  0.500  0.000
I  0.500  0.000  0.000
I  0.000  0.000  0.500

=====

Record 20
Compound: Ac3CeIn4
Source: Alexandria via LeMat-Bulk
Functional: PBE
Structure: optimized geometry

Calculated values
energy of formation from the pure elements: -0.2250 eV per atom
DOS at the Fermi energy: 13.1 states/eV per cell
total energy: -31.0 eV for the cell shown
magnetic moment: 1.78 μB per formula unit

a = 3.926 Å, b = 7.470 Å, c = 10.769 Å
α = 110.29°, β = 100.50°, γ = 90.00°
Site moments in Bohr magnetons follow the coordinates.
Fractional positions:
In  0.625  0.419  0.249  0.00
In  0.375  0.170  0.751  0.00
In  0.375  0.581  0.751  0.00
In  0.625  0.830  0.249  0.00
Ce  0.500  0.000  0.000  1.17
Ac  0.785  0.785  0.571  0.00
Ac  0.000  0.500  0.000  0.02
Ac  0.215  0.215  0.429  0.00